## LiSn2H (PBE)

Data for a relaxed structure of LiSn2H.

Results
ΔE to the lowest computed polymorph = 0.0230 eV per atom
total magnetization = 0.00 μB/cell
N(E_F) = 0.206 states/eV per atom
V = 17.8 Å³/atom

extended XYZ file:
```
4
Lattice="0.0000 3.2868 3.2868 3.2868 0.0000 3.2868 3.2868 3.2868 0.0000" Properties=species:S:1:pos:R:3 pbc="T T T"
Li 0.0000 0.0000 0.0000
Sn 1.6434 1.6434 1.6434
Sn 4.9301 4.9301 4.9301
H 3.2868 3.2868 3.2868
```

## Li2SnH (PBE)

Data for a relaxed structure of Li2SnH.

Results
ΔE to the lowest computed polymorph = 0.0000 eV per atom
total magnetization = 0.00 μB/cell
N(E_F) = 0.416 states/eV per atom
V = 15.3 Å³/atom

extended XYZ file:
```
4
Lattice="1.5868 0.9161 7.0382 -1.5868 0.9161 7.0382 0.0000 -1.8323 7.0382" Properties=species:S:1:pos:R:3 pbc="T T T"
Li 0.0000 0.0000 4.6225
Li 0.0000 0.0000 16.4921
Sn 0.0000 0.0000 0.0000
H 0.0000 0.0000 10.5573
```

## LiSn3H (PBE)

Data for a relaxed structure of LiSn3H.

Results
ΔE to the lowest computed polymorph = 0.0000 eV per atom
total magnetization = 0.00 μB/cell
N(E_F) = 0.373 states/eV per atom
V = 21.0 Å³/atom

extended XYZ file:
```
5
Lattice="4.7140 0.0000 0.0000 0.0000 4.7140 0.0000 0.0000 0.0000 4.7140" Properties=species:S:1:pos:R:3 pbc="T T T"
Li 0.0000 0.0000 0.0000
Sn 0.0000 2.3570 2.3570
Sn 2.3570 0.0000 2.3570
Sn 2.3570 2.3570 0.0000
H 2.3570 2.3570 2.3570
```

## Li5Sn3H12 (PBE)

Data for a relaxed structure of Li5Sn3H12.

Results
total magnetization = 0.00 μB/cell
N(E_F) = 0.136 states/eV per atom
V = 10.8 Å³/atom
total energy = -239.99 eV per cell

extended XYZ file:
```
80
Lattice="-5.9961 5.9961 5.9961 5.9961 -5.9961 5.9961 5.9961 5.9961 -5.9961" Properties=species:S:1:pos:R:3 pbc="T T T"
Li 0.0000 0.0000 0.0000
Li 2.9980 2.9980 -2.9980
Li 2.9980 -2.9980 2.9980
Li 5.9961 0.0000 0.0000
Li 8.9941 1.4990 0.0000
Li 5.9961 -2.9980 4.4971
Li 4.4971 5.9961 -2.9980
Li 4.4971 0.0000 2.9980
Li 2.9980 4.4971 0.0000
Li 5.9961 2.9980 1.4990
Li -2.9980 2.9980 2.9980
Li 0.0000 5.9961 0.0000
Li 0.0000 0.0000 5.9961
Li 2.9980 2.9980 2.9980
Li 0.0000 2.9980 4.4971
Li 2.9980 1.4990 5.9961
Li 1.4990 5.9961 2.9980
Li 1.4990 0.0000 8.9941
Li 0.0000 8.9941 1.4990
Li -2.9980 4.4971 5.9961
Sn 2.9980 1.4990 0.0000
Sn 5.9961 2.9980 -1.4990
Sn 1.4990 0.0000 2.9980
Sn 7.4951 0.0000 2.9980
Sn 0.0000 2.9980 1.4990
Sn 2.9980 -1.4990 5.9961
Sn 2.9980 7.4951 0.0000
Sn 5.9961 2.9980 4.4971
Sn -1.4990 5.9961 2.9980
Sn 4.4971 5.9961 2.9980
Sn 0.0000 2.9980 7.4951
Sn 2.9980 4.4971 5.9961
H 1.8338 -0.2823 0.7938
H 7.1604 3.7918 -3.2803
H 5.7138 -0.7938 1.8338
H 9.2764 -1.1643 2.2042
H 7.8298 0.2823 0.7938
H 7.1604 -2.2042 3.2803
H 0.7938 1.8338 -0.2823
H 8.2003 2.7158 -1.1643
H 3.7918 3.2803 -1.1643
H 5.2023 1.8338 0.2823
H -0.2823 0.7938 1.8338
H 3.2803 -1.1643 3.7918
H 5.7138 5.2023 -1.8338
H 3.2803 1.1643 2.2042
H 5.2023 -1.8338 5.7138
H 3.7918 -3.2803 7.1604
H 2.2042 3.2803 1.1643
H 6.7899 4.1623 0.2823
H 1.8338 5.7138 -0.7938
H 7.1604 2.2042 2.7158
H 3.2803 7.1604 -2.2042
H 5.7138 0.7938 4.1623
H 1.1643 2.2042 3.2803
H 1.8338 0.2823 5.2023
H 4.1623 5.7138 0.7938
H 4.8318 3.7918 2.7158
H 0.2823 5.2023 1.8338
H 2.7158 -1.1643 8.2003
H -1.1643 3.7918 3.2803
H 4.1623 0.2823 6.7899
H -0.7938 1.8338 5.7138
H 3.7918 2.7158 4.8318
H 2.2042 9.2764 -1.1643
H 0.7938 7.8298 0.2823
H 2.7158 4.8318 3.7918
H 0.2823 0.7938 7.8298
H 2.7158 7.1604 2.2042
H 6.2783 5.2023 4.1623
H 0.7938 4.1623 5.7138
H 2.2042 2.7158 7.1604
H -2.2042 3.2803 7.1604
H 5.2023 4.1623 6.2783
H -1.1643 8.2003 2.7158
H -1.8338 5.7138 5.2023
H -3.2803 7.1604 3.7918
H 0.2823 6.7899 4.1623
H -1.1643 2.2042 9.2764
H 4.1623 6.2783 5.2023
```

## LiSnH (PBE)

Data for a relaxed structure of LiSnH.

Results
ΔE to the lowest computed polymorph = 0.0031 eV per atom
total magnetization = 0.00 μB/cell
N(E_F) = 0.250 states/eV per atom
V = 16.4 Å³/atom

extended XYZ file:
```
6
Lattice="3.0793 0.0000 0.0000 0.0581 5.3292 0.0000 0.0172 1.4403 5.9956" Properties=species:S:1:pos:R:3 pbc="T T T"
Li 0.0230 0.8598 1.0590
Li 3.1316 5.9097 4.9366
Sn 1.5745 3.2903 4.5988
Sn 1.5801 3.4792 1.3968
H 0.1353 5.6661 2.9755
H 3.0192 1.1035 3.0201
```

## Li2SnH2 (PBE)

Data for a relaxed structure of Li2SnH2.

Results
ΔE to the lowest computed polymorph = 0.0000 eV per atom
total magnetization = 0.00 μB/cell
N(E_F) = 0.198 states/eV per atom
V = 12.3 Å³/atom

extended XYZ file:
```
5
Lattice="-1.7416 1.7416 5.0721 1.7416 -1.7416 5.0721 1.7416 1.7416 -5.0721" Properties=species:S:1:pos:R:3 pbc="T T T"
Li 0.0000 0.0000 1.9104
Li 0.0000 0.0000 8.2339
Sn 0.0000 0.0000 5.0721
H 1.7416 0.0000 2.5361
H 0.0000 1.7416 2.5361
```